Entry 1:
A plane-wave DFT calculation with PBE-GGA was carried out for a relaxed HRhSe2 crystal.

a = 3.6817 Å, b = 21.7458 Å, c = 3.4510 Å
α = 90.00°, β = 90.00°, γ = 90.00°
Space group Cmcm (No. 63)
One atom of each set of equivalent atoms:
H (0.0000, 0.0622, 0.2500) (multiplicity 4)
Rh (0.0000, 0.3290, 0.2500) (multiplicity 4)
Se (0.0000, 0.0877, 0.7500) (multiplicity 4)
Se (0.0000, 0.2090, 0.2500) (multiplicity 4)

=====

Entry 2:
A plane-wave DFT calculation with PBE-GGA was carried out for a relaxed HRhSe2 crystal.

a = 5.1817 Å, b = 5.1817 Å, c = 8.7596 Å
α = 90.00°, β = 90.00°, γ = 90.00°
Space group I4_1/amd (No. 141, origin choice 2)
One atom of each set of equivalent atoms:
H (0.0000, 0.2500, 0.3750) (multiplicity 4)
Rh (0.0000, 0.2500, 0.8750) (multiplicity 4)
Se (0.0000, 0.2500, 0.1680) (multiplicity 8)

=====

Entry 3:
A plane-wave DFT calculation with PBE-GGA was carried out for a relaxed HRhSe2 crystal.

a = 9.8821 Å, b = 9.6933 Å, c = 11.7727 Å
α = 90.00°, β = 96.97°, γ = 90.00°
Space group C2/c (No. 15)
One atom of each set of equivalent atoms:
H (0.1235, 0.1437, 0.2713) (multiplicity 8)
H (0.1436, 0.3371, 0.3620) (multiplicity 8)
Rh (0.0427, 0.1277, 0.6035) (multiplicity 8)
Rh (0.1450, 0.4827, 0.1149) (multiplicity 8)
Se (0.0000, 0.0372, 0.2500) (multiplicity 4)
Se (0.0000, 0.4013, 0.7500) (multiplicity 4)
Se (0.0400, 0.3388, 0.4867) (multiplicity 8)
Se (0.1704, 0.0553, 0.0079) (multiplicity 8)
Se (0.2409, 0.3120, 0.2635) (multiplicity 8)

=====

Let's list excess energy over the best structure of this formula in the dataset in order: 346.4, 482.1, 223.9 meV per atom.
Let's list density of states at the Fermi level in order: 0.37, 0.82, 0.47 states/eV per atom.